The following is a DFT calculation (PBE-GGA) of a relaxed La2Y5Er6 crystal.

Cell: 11.693 20.335 3.588 Å, 90.00 90.00 90.00°
Sites, in units of the cell vectors:
La  0.170  0.223  0.000
La  0.330  0.723  0.000
La  0.670  0.277  0.000
La  0.830  0.777  0.000
Y  0.000  0.500  0.500
Y  0.091  0.784  0.500
Y  0.200  0.056  0.500
Y  0.300  0.556  0.500
Y  0.409  0.284  0.500
Y  0.500  0.000  0.500
Y  0.591  0.716  0.500
Y  0.700  0.444  0.500
Y  0.800  0.944  0.500
Y  0.909  0.216  0.500
Er  0.063  0.927  0.000
Er  0.074  0.639  0.000
Er  0.182  0.378  0.500
Er  0.318  0.878  0.500
Er  0.426  0.139  0.000
Er  0.437  0.427  0.000
Er  0.563  0.573  0.000
Er  0.574  0.861  0.000
Er  0.682  0.122  0.500
Er  0.818  0.622  0.500
Er  0.926  0.361  0.000
Er  0.937  0.073  0.000

Computed properties:
space-group type: Pbam, No. 55
calculated volume: 853.2 Å³ per cell
formation energy: 0.11 eV/atom

=====

The following is a DFT calculation (PBE-GGA) of a relaxed LaY3Er8 crystal.

Cell: 8.319 8.319 8.319 Å, 117.36 117.36 94.65°
Sites, in units of the cell vectors:
La  0.000  0.000  0.000
Y  0.250  0.750  0.500
Y  0.500  0.500  0.000
Y  0.750  0.250  0.500
Er  0.122  0.122  0.748
Er  0.242  0.242  0.494
Er  0.253  0.758  0.000
Er  0.374  0.374  0.252
Er  0.626  0.878  0.000
Er  0.747  0.747  0.506
Er  0.758  0.253  0.000
Er  0.878  0.626  0.000

Computed properties:
space-group type: I-42m, No. 121
calculated volume: 421.9 Å³ per cell
formation energy: 0.68 eV/atom